(1)
First-principles (PBE) data for a relaxed structure of LiCuAu3, as listed in the Alexandria database.

Calculated values
Space group ... No. 221
Calculated formation energy ... 216 meV/atom
ρ ... 9.7 g/cm3
Total magnetization ... 0.000 μB per atom

a = 4.839 Å, b = 4.839 Å, c = 4.839 Å
α = 90.00°, β = 90.00°, γ = 90.00°
Positions (direct):
Li 0.000 0.000 0.000
Cu 0.500 0.500 0.500
Au 0.000 0.500 0.500
Au 0.500 0.000 0.500
Au 0.500 0.500 0.000

=====

(2)
First-principles (PBE) data for a relaxed structure of Sm8TmTh4, as listed in the Alexandria database.

Calculated values
Space group ... No. 166
Calculated formation energy ... 570 meV/atom
ρ ... 7.9 g/cm3
Total magnetization ... 0.001 μB per atom

a = 7.862 Å, b = 7.862 Å, c = 7.862 Å
α = 90.92°, β = 90.92°, γ = 90.92°
Positions (direct):
Sm 0.236 0.236 0.752
Sm 0.236 0.752 0.236
Sm 0.239 0.239 0.239
Sm 0.248 0.764 0.764
Sm 0.752 0.236 0.236
Sm 0.761 0.761 0.761
Sm 0.764 0.248 0.764
Sm 0.764 0.764 0.248
Tm 0.500 0.500 0.500
Th 0.000 0.000 0.000
Th 0.000 0.500 0.500
Th 0.500 0.000 0.500
Th 0.500 0.500 0.000

=====

(3)
First-principles (PBE) data for a relaxed structure of EuSnRh, as listed in the Alexandria database.

Calculated values
Space group ... No. 107
Calculated formation energy ... -549 meV/atom
ρ ... 9.1 g/cm3
Total magnetization ... 2.360 μB per atom

a = 3.443 Å, b = 3.443 Å, c = 11.516 Å
α = 90.00°, β = 90.00°, γ = 90.00°
Positions (direct):
Eu 0.000 0.000 0.000
Eu 0.500 0.500 0.500
Sn 0.000 0.000 0.710
Sn 0.500 0.500 0.210
Rh 0.000 0.000 0.320
Rh 0.500 0.500 0.820

=====

(4)
First-principles (PBE) data for a relaxed structure of SrH2RuO4, as listed in the Alexandria database.

Calculated values
Space group ... No. 23
Final energy ... -95.2 eV/cell
ρ ... 4.6 g/cm3
Total magnetization ... 0.000 μB per atom

a = 4.815 Å, b = 5.786 Å, c = 6.640 Å
α = 90.00°, β = 90.00°, γ = 90.00°
Positions (direct):
Sr 0.000 0.000 0.000
Sr 0.500 0.500 0.500
H 0.000 0.500 0.164
H 0.000 0.500 0.836
H 0.500 0.000 0.336
H 0.500 0.000 0.664
Ru 0.000 0.000 0.500
Ru 0.500 0.500 0.000
O 0.213 0.387 0.829
O 0.213 0.613 0.171
O 0.287 0.113 0.329
O 0.287 0.887 0.671
O 0.713 0.113 0.671
O 0.713 0.887 0.329
O 0.787 0.387 0.171
O 0.787 0.613 0.829

=====

(5)
First-principles (PBE) data for a relaxed structure of CdReHg2, as listed in the Alexandria database.

Calculated values
Space group ... No. 35
Calculated formation energy ... 587 meV/atom
ρ ... 13.7 g/cm3
Total magnetization ... 0.000 μB per atom

a = 2.926 Å, b = 4.931 Å, c = 11.781 Å
α = 90.00°, β = 90.00°, γ = 90.00°
Positions (direct):
Cd 0.000 0.000 0.000
Cd 0.500 0.500 0.000
Re 0.000 0.500 0.787
Re 0.500 0.000 0.787
Hg 0.000 0.000 0.567
Hg 0.000 0.500 0.276
Hg 0.500 0.000 0.276
Hg 0.500 0.500 0.567

=====

(6)
First-principles (PBE) data for a relaxed structure of Ta2CdPt, as listed in the Alexandria database.

Calculated values
Space group ... No. 122
Calculated formation energy ... 334 meV/atom
ρ ... 14.0 g/cm3
Total magnetization ... 0.000 μB per atom

a = 7.613 Å, b = 7.613 Å, c = 5.489 Å
α = 90.00°, β = 90.00°, γ = 90.00°
Positions (direct):
Ta 0.211 0.750 0.125
Ta 0.250 0.211 0.875
Ta 0.250 0.289 0.375
Ta 0.289 0.750 0.625
Ta 0.711 0.250 0.625
Ta 0.750 0.711 0.375
Ta 0.750 0.789 0.875
Ta 0.789 0.250 0.125
Cd 0.000 0.000 0.500
Cd 0.000 0.500 0.750
Cd 0.500 0.000 0.250
Cd 0.500 0.500 0.000
Pt 0.000 0.000 0.000
Pt 0.000 0.500 0.250
Pt 0.500 0.000 0.750
Pt 0.500 0.500 0.500